Record 1
A relaxed PrThIrRh crystal. Source: Alexandria via LeMat-Bulk, functional PBE-GGA.

```
PrThIrRh
1.0
4.213 0.000 0.000
0.000 1.978 5.641
0.000 -1.978 5.641
Pr Th Ir Rh
1 1 1 1
Direct
0.000 0.000 0.000
0.500 0.724 0.724
0.000 0.268 0.268
0.500 0.451 0.451
```

Properties
The calculated formation energy is -0.828 eV per atom. For the total DFT energy (no corrections), the calculation gives -31.7 eV/cell. Its space group is Amm2, No. 38.

Record 2
A relaxed Na3Sc2GeS6 crystal. Source: Alexandria via LeMat-Bulk, functional PBE-GGA.

```
Na3Sc2GeS6
1.0
3.266 -5.658 0.000
3.266 5.658 0.000
-2.181 0.000 6.602
Na Sc Ge S
3 2 1 6
Direct
0.000 0.000 0.000
0.334 0.666 0.000
0.666 0.334 0.000
0.167 0.833 0.500
0.833 0.167 0.500
0.500 0.500 0.500
0.099 0.429 0.287
0.241 0.241 0.713
0.429 0.099 0.287
0.571 0.901 0.713
0.759 0.759 0.287
0.901 0.571 0.713
```

Properties
For the total DFT energy (no corrections), the calculation gives -62.1 eV/cell. The value obtained for the raw formation energy is -1.340 eV per atom. Its space group is C2/m, No. 12.

Record 3
A relaxed Ba2Ag3Sn4Pb crystal. Source: Alexandria via LeMat-Bulk, functional PBE-GGA.

```
Ba2Ag3Sn4Pb
1.0
4.926 0.000 0.000
0.000 4.926 0.000
0.000 0.000 11.981
Ba Ag Sn Pb
2 3 4 1
Direct
0.000 0.500 0.244
0.500 0.000 0.756
0.000 0.500 0.874
0.500 0.000 0.126
0.500 0.500 0.500
0.000 0.000 0.000
0.000 0.500 0.644
0.500 0.000 0.356
0.500 0.500 0.000
0.000 0.000 0.500
```

Properties
The calculated formation energy is -0.360 eV per atom. For the total DFT energy (no corrections), the calculation gives -35.7 eV/cell. Its space group is P-4m2, No. 115.

Record 4
A relaxed Cs3TlHg4 crystal. Source: Alexandria via LeMat-Bulk, functional PBE-GGA.

```
Cs3TlHg4
1.0
7.204 -3.606 0.000
7.204 3.606 0.000
-3.569 0.000 6.736
Cs Tl Hg
3 1 4
Direct
0.000 0.000 0.000
0.068 0.558 0.399
0.442 0.932 0.601
0.759 0.241 0.500
0.007 0.464 0.838
0.439 0.438 0.119
0.536 0.993 0.162
0.562 0.561 0.881
```

Properties
The calculated formation energy is -0.188 eV per atom. For the total DFT energy (no corrections), the calculation gives -7.6 eV/cell. Its space group is C2, No. 5.

| no. | calculated volume (Å³/atom) |
| --- | --- |
| 1 | 23.51 |
| 2 | 20.33 |
| 3 | 29.08 |
| 4 | 43.74 |